Entry 1:
# PBE Pr2NiSn4Pt3, optimized geometry
# magnetization: 0.00 μB per atom
# E_form: -0.776 eV per atom
data_Pr2NiSn4Pt3
_chemical_formula_sum 'Pr2 Ni1 Sn4 Pt3'
_space_group_name_H-M_alt 'P -4 m 2'
_space_group_IT_number 115
_space_group_name_Hall 'P -4 -2'
_cell_length_a 4.5724
_cell_length_b 4.5724
_cell_length_c 10.7477
_cell_angle_alpha 90.00
_cell_angle_beta 90.00
_cell_angle_gamma 90.00
loop_
_atom_site_label
_atom_site_fract_x
_atom_site_fract_y
_atom_site_fract_z
Pr1 0.0000 0.5000 0.2363
Ni1 0.5000 0.5000 0.0000
Sn1 0.0000 0.0000 0.5000
Sn2 0.0000 0.5000 0.8776
Sn3 0.5000 0.5000 0.5000
Pt1 0.0000 0.0000 0.0000
Pt2 0.0000 0.5000 0.6337


Entry 2:
# PBE PrNiSnPt3, optimized geometry
# magnetization: 0.00 μB per atom
# E_form: -0.530 eV per atom
data_PrNiSnPt3
_chemical_formula_sum 'Pr4 Ni4 Sn4 Pt12'
_space_group_name_H-M_alt 'C m c m'
_space_group_IT_number 63
_space_group_name_Hall '-C 2c 2'
_cell_length_a 5.6809
_cell_length_b 11.5106
_cell_length_c 7.5186
_cell_angle_alpha 90.00
_cell_angle_beta 90.00
_cell_angle_gamma 90.00
loop_
_atom_site_label
_atom_site_fract_x
_atom_site_fract_y
_atom_site_fract_z
Pr1 0.0000 0.1830 0.2500
Ni1 0.0000 0.4184 0.2500
Sn1 0.0000 0.1239 0.7500
Pt1 0.0000 0.3516 0.7500
Pt2 0.2452 0.5000 0.0000


Entry 3:
# PBE Pr2UNi3Pt12, optimized geometry
# magnetization: 0.00 μB per atom
# E_form: -0.132 eV per atom
data_Pr2UNi3Pt12
_chemical_formula_sum 'Pr6 U3 Ni9 Pt36'
_space_group_name_H-M_alt 'R -3 m'
_space_group_IT_number 166
_space_group_name_Hall '-R 3 2"'
_cell_length_a 7.9876
_cell_length_b 7.9876
_cell_length_c 20.2854
_cell_angle_alpha 90.00
_cell_angle_beta 90.00
_cell_angle_gamma 120.00
loop_
_atom_site_label
_atom_site_fract_x
_atom_site_fract_y
_atom_site_fract_z
Pr1 0.0000 0.0000 0.1142
U1 0.0000 0.0000 0.5000
Ni1 0.0000 0.5000 0.0000
Pt1 0.0008 0.5004 0.3696
Pt2 0.0164 0.5082 0.8788


Entry 4:
# PBE PrYNiPt, optimized geometry
# polymorph energy (0 for the lowest one): 0.0 meV per atom
# magnetization: 0.00 μB per atom
# E_form: -0.770 eV per atom
data_PrYNiPt
_chemical_formula_sum 'Pr2 Y2 Ni2 Pt2'
_space_group_name_H-M_alt 'A m m 2'
_space_group_IT_number 38
_space_group_name_Hall 'A 2 -2'
_cell_length_a 4.4570
_cell_length_b 3.9290
_cell_length_c 10.3822
_cell_angle_alpha 90.00
_cell_angle_beta 90.00
_cell_angle_gamma 90.00
loop_
_atom_site_label
_atom_site_fract_x
_atom_site_fract_y
_atom_site_fract_z
Pr1 0.0000 0.0000 0.0000
Y1 0.5000 0.0000 0.7197
Ni1 0.0000 0.0000 0.2786
Pt1 0.5000 0.0000 0.4316


Entry 5:
# PBE PrYNiPt, optimized geometry
# polymorph energy (0 for the lowest one): 95.4 meV per atom
# magnetization: 0.00 μB per atom
# E_form: -0.675 eV per atom
data_PrYNiPt
_chemical_formula_sum 'Pr4 Y4 Ni4 Pt4'
_space_group_name_H-M_alt 'F -4 3 m'
_space_group_IT_number 216
_space_group_name_Hall 'F -4 2 3'
_cell_length_a 7.0548
_cell_length_b 7.0548
_cell_length_c 7.0548
_cell_angle_alpha 90.00
_cell_angle_beta 90.00
_cell_angle_gamma 90.00
loop_
_atom_site_label
_atom_site_fract_x
_atom_site_fract_y
_atom_site_fract_z
Pr1 0.0000 0.0000 0.0000
Y1 0.0000 0.0000 0.5000
Ni1 0.2500 0.2500 0.2500
Pt1 0.2500 0.2500 0.7500


Entry 6:
# PBE PrZnNiPt, optimized geometry
# magnetization: 0.00 μB per atom
# E_form: -0.623 eV per atom
data_PrZnNiPt
_chemical_formula_sum 'Pr3 Zn3 Ni3 Pt3'
_space_group_name_H-M_alt 'R 3 m'
_space_group_IT_number 160
_space_group_name_Hall 'R 3 -2"'
_cell_length_a 4.3117
_cell_length_b 4.3117
_cell_length_c 14.5564
_cell_angle_alpha 90.00
_cell_angle_beta 90.00
_cell_angle_gamma 120.00
loop_
_atom_site_label
_atom_site_fract_x
_atom_site_fract_y
_atom_site_fract_z
Pr1 0.0000 0.0000 0.0000
Zn1 0.0000 0.0000 0.4940
Ni1 0.0000 0.0000 0.8006
Pt1 0.0000 0.0000 0.2074


Entry 7:
# PBE Pr2ZnNi2Pt5, optimized geometry
# magnetization: 0.00 μB per atom
# E_form: -0.712 eV per atom
data_Pr2ZnNi2Pt5
_chemical_formula_sum 'Pr4 Zn2 Ni4 Pt10'
_space_group_name_H-M_alt 'P 4/m b m'
_space_group_IT_number 127
_space_group_name_Hall '-P 4 2ab'
_cell_length_a 9.3645
_cell_length_b 9.3645
_cell_length_c 3.9995
_cell_angle_alpha 90.00
_cell_angle_beta 90.00
_cell_angle_gamma 90.00
loop_
_atom_site_label
_atom_site_fract_x
_atom_site_fract_y
_atom_site_fract_z
Pr1 0.1773 0.3227 0.0000
Zn1 0.0000 0.0000 0.0000
Ni1 0.1213 0.6213 0.0000
Pt1 0.0000 0.5000 0.5000
Pt2 0.0636 0.7939 0.5000


Entry 8:
# PBE PrPuNi17, optimized geometry
# magnetization: 0.12 μB per atom
# E_form: -0.123 eV per atom
data_PrPuNi17
_chemical_formula_sum 'Pr3 Pu3 Ni51'
_space_group_name_H-M_alt 'R 3 m'
_space_group_IT_number 160
_space_group_name_Hall 'R 3 -2"'
_cell_length_a 8.3342
_cell_length_b 8.3342
_cell_length_c 12.1052
_cell_angle_alpha 90.00
_cell_angle_beta 90.00
_cell_angle_gamma 120.00
loop_
_atom_site_label
_atom_site_fract_x
_atom_site_fract_y
_atom_site_fract_z
Pr1 0.0000 0.0000 0.0000
Pu1 0.0000 0.0000 0.6792
Ni1 0.0000 0.0000 0.2440
Ni2 0.0000 0.0000 0.4410
Ni3 0.0014 0.2930 0.3409
Ni4 0.0008 0.5004 0.4943
Ni5 0.0034 0.5017 0.1865
Ni6 0.1671 0.3342 0.1745


Q: Number 2 is which compound?
A: PrNiSnPt3


Repeat the seventh record exactly.
# PBE Pr2ZnNi2Pt5, optimized geometry
# magnetization: 0.00 μB per atom
# E_form: -0.712 eV per atom
data_Pr2ZnNi2Pt5
_chemical_formula_sum 'Pr4 Zn2 Ni4 Pt10'
_space_group_name_H-M_alt 'P 4/m b m'
_space_group_IT_number 127
_space_group_name_Hall '-P 4 2ab'
_cell_length_a 9.3645
_cell_length_b 9.3645
_cell_length_c 3.9995
_cell_angle_alpha 90.00
_cell_angle_beta 90.00
_cell_angle_gamma 90.00
loop_
_atom_site_label
_atom_site_fract_x
_atom_site_fract_y
_atom_site_fract_z
Pr1 0.1773 0.3227 0.0000
Zn1 0.0000 0.0000 0.0000
Ni1 0.1213 0.6213 0.0000
Pt1 0.0000 0.5000 0.5000
Pt2 0.0636 0.7939 0.5000


Q: magnetization of number 5 (PrYNiPt)?
A: 0.00 μB per atom